# 1
VASP calculation (PBE-GGA) on a geometry-optimized TaHg2 structure.

The value obtained for the final energy is -3.760 eV per atom. As for the space group: I4_1/amd, No. 141. The spin magnetization is 0.0 Bohr magnetons per cell. The energy of formation comes out at 0.39 eV per atom.

a b c (Å): 14.3217 14.3217 14.3217
angles (deg): 168.14 168.14 16.80
Last column: nearest neighbours and their distance in Å.
Positions (direct):
Ta1 0.0000 0.0000 0.0000  4 Ta 2.96, 8 Hg 3.05
Ta2 0.7500 0.2500 0.5000  4 Ta 2.96, 8 Hg 3.05
Hg1 0.3281 0.8281 0.5000  6 Hg 2.96-3.04, 4 Ta 3.05
Hg2 0.1719 0.6719 0.5000  6 Hg 2.96-3.04, 4 Ta 3.05
Hg3 0.5781 0.5781 0.0000  6 Hg 2.96-3.04, 4 Ta 3.05
Hg4 0.4219 0.4219 0.0000  6 Hg 2.96-3.04, 4 Ta 3.05

# 2
VASP calculation (PBE-GGA) on a geometry-optimized CuReN2O structure.

The value obtained for the final energy is -6.021 eV per atom. As for the space group: P4/mmm, No. 123. The spin magnetization is 1.9 Bohr magnetons per cell. As for the formation energy from raw total energies: 1.61 eV per atom.

a b c (Å): 3.7260 3.7260 3.6506
angles (deg): 90.00 90.00 90.00
Last column: nearest neighbours and their distance in Å.
Positions (direct):
Re1 0.5000 0.5000 0.5000  8 N 2.61, 4 O 2.63
O1 0.0000 0.0000 0.5000  2 Cu 1.83
Cu1 0.0000 0.0000 0.0000  2 O 1.83, 4 N 1.86
N1 0.0000 0.5000 0.0000  2 Cu 1.86
N2 0.5000 0.0000 0.0000  2 Cu 1.86

# 3
VASP calculation (PBE-GGA) on a geometry-optimized Sr2MgSb3Ir4 structure.

The value obtained for the final energy is -5.789 eV per atom. As for the space group: P-4m2, No. 115. The spin magnetization is 0.0 Bohr magnetons per cell. As for the formation energy from raw total energies: -0.51 eV per atom.

a b c (Å): 4.4059 4.4059 11.2942
angles (deg): 90.00 90.00 90.00
Last column: nearest neighbours and their distance in Å.
Positions (direct):
Sr1 0.5000 0.0000 0.2520  8 Ir 3.37-3.60, 6 Sb 3.39-3.56, 2 Mg 3.56
Sr2 0.0000 0.5000 0.7480  8 Ir 3.37-3.60, 6 Sb 3.39-3.56, 2 Mg 3.56
Mg1 0.5000 0.5000 0.5000  4 Ir 2.68
Sb1 0.0000 0.0000 0.5000  4 Ir 2.68
Sb2 0.5000 0.0000 0.8670  5 Ir 2.62-2.67
Sb3 0.0000 0.5000 0.1330  5 Ir 2.62-2.67
Ir1 0.5000 0.5000 0.0000  4 Sb 2.67
Ir2 0.0000 0.0000 0.0000  4 Sb 2.67
Ir3 0.5000 0.0000 0.6347  3 Sb 2.62-2.68, 2 Mg 2.68
Ir4 0.0000 0.5000 0.3653  3 Sb 2.62-2.68, 2 Mg 2.68

# 4
VASP calculation (PBE-GGA) on a geometry-optimized UTi2Sn structure.

The value obtained for the final energy is -7.778 eV per atom. As for the space group: Fm-3m, No. 225. The spin magnetization is 2.5 Bohr magnetons per cell. The energy of formation comes out at -0.01 eV per atom.

a b c (Å): 4.7884 4.7884 4.7884
angles (deg): 60.00 60.00 60.00
Last column: nearest neighbours and their distance in Å.
Positions (direct):
U1 0.0000 0.0000 0.0000  8 Ti 2.93
Sn1 0.5000 0.5000 0.5000  8 Ti 2.93
Ti1 0.2500 0.2500 0.2500  4 Sn 2.93, 4 U 2.93
Ti2 0.7500 0.7500 0.7500  4 Sn 2.93, 4 U 2.93

# 5
VASP calculation (PBE-GGA) on a geometry-optimized Ba5Zn5Ag2 structure.

The value obtained for the final energy is -1.977 eV per atom. As for the space group: C2/m, No. 12. The spin magnetization is 0.0 Bohr magnetons per cell. The energy of formation comes out at -0.17 eV per atom.

a b c (Å): 4.5294 9.3095 10.0799
angles (deg): 86.47 77.02 75.92
Last column: nearest neighbours and their distance in Å.
Positions (direct):
Ba1 0.0000 0.5000 0.5000  4 Ag 3.44, 6 Zn 3.54-3.63
Ba2 0.6858 0.7092 0.9191  7 Zn 3.42-3.64, 3 Ag 3.49-3.52
Ba3 0.3832 0.9249 0.3088  5 Zn 3.43-3.70, 1 Ag 3.64
Ba4 0.6168 0.0751 0.6912  5 Zn 3.43-3.70, 1 Ag 3.64
Ba5 0.3142 0.2908 0.0809  7 Zn 3.42-3.64, 3 Ag 3.49-3.52
Zn1 0.7092 0.2374 0.3443  1 Ag 2.83
Zn2 0.9285 0.3211 0.8218  2 Ag 2.70
Zn3 0.0715 0.6789 0.1782  2 Ag 2.70
Zn4 0.2908 0.7626 0.6557  1 Ag 2.83
Zn5 0.0000 0.0000 0.0000  2 Zn 3.38, 4 Ba 3.56
Ag1 0.3839 0.4702 0.7621  3 Zn 2.70-2.83
Ag2 0.6161 0.5298 0.2379  3 Zn 2.70-2.83

# 6
VASP calculation (PBE-GGA) on a geometry-optimized NaReS2N structure.

The value obtained for the final energy is -6.224 eV per atom. As for the space group: P4/mmm, No. 123. The spin magnetization is 0.0 Bohr magnetons per cell. As for the formation energy from raw total energies: -0.15 eV per atom.

a b c (Å): 4.8181 4.8181 3.7839
angles (deg): 90.00 90.00 90.00
Last column: nearest neighbours and their distance in Å.
Positions (direct):
Re1 0.0000 0.0000 0.0000  2 N 1.89
S1 0.0000 0.5000 0.0000  2 Re 2.41
S2 0.5000 0.0000 0.0000  2 Re 2.41
N1 0.0000 0.0000 0.5000  2 Re 1.89
Na1 0.5000 0.5000 0.5000  8 S 3.06, 4 N 3.41

# 7
VASP calculation (PBE-GGA) on a geometry-optimized Ga2FeBr structure.

The value obtained for the final energy is -3.506 eV per atom. As for the space group: Fm-3m, No. 225. The spin magnetization is 3.0 Bohr magnetons per cell. As for the formation energy from raw total energies: 0.54 eV per atom.

a b c (Å): 4.9298 4.9298 4.9298
angles (deg): 60.00 60.00 60.00
Last column: nearest neighbours and their distance in Å.
Positions (direct):
Ga1 0.2500 0.2500 0.2500  4 Br 3.02, 4 Fe 3.02
Ga2 0.7500 0.7500 0.7500  4 Br 3.02, 4 Fe 3.02
Br1 0.5000 0.5000 0.5000  8 Ga 3.02
Fe1 0.0000 0.0000 0.0000  8 Ga 3.02

# 8
VASP calculation (PBE-GGA) on a geometry-optimized Tm6Te3Pd structure.

The value obtained for the final energy is -4.992 eV per atom. As for the space group: P2_1/m, No. 11. The spin magnetization is 0.0 Bohr magnetons per cell. As for the formation energy from raw total energies: -0.85 eV per atom.

a b c (Å): 3.9047 12.1160 12.3510
angles (deg): 105.09 90.00 90.00
Last column: nearest neighbours and their distance in Å.
Positions (direct):
Tm1 0.7500 0.4899 0.6490  4 Te 3.07-3.15
Tm2 0.2500 0.5101 0.3510  4 Te 3.07-3.15
Tm3 0.7500 0.9636 0.1505  2 Pd 2.93, 3 Te 3.04-3.08
Tm4 0.2500 0.0364 0.8495  2 Pd 2.93, 3 Te 3.04-3.08
Tm5 0.7500 0.4165 0.1139  4 Te 3.04-3.09
Tm6 0.2500 0.5835 0.8861  4 Te 3.04-3.09
Tm7 0.7500 0.7648 0.3096  2 Pd 2.95, 3 Te 3.03-3.07
Tm8 0.2500 0.2352 0.6904  2 Pd 2.95, 3 Te 3.03-3.07
Tm9 0.7500 0.1040 0.4459  3 Pd 2.84-3.08
Tm10 0.2500 0.8960 0.5541  3 Pd 2.84-3.08
Tm11 0.7500 0.7824 0.7650  3 Te 3.04-3.08
Tm12 0.2500 0.2176 0.2350  3 Te 3.04-3.08
Te1 0.7500 0.3851 0.8574  6 Tm 3.04-3.15
Te2 0.2500 0.6149 0.1426  6 Tm 3.04-3.15
Te3 0.7500 0.6704 0.5142  7 Tm 3.03-3.29
Te4 0.2500 0.3296 0.4858  7 Tm 3.03-3.29
Te5 0.7500 0.1572 0.0355  6 Tm 3.04-3.08
Te6 0.2500 0.8428 0.9645  6 Tm 3.04-3.08
Pd1 0.7500 0.0498 0.6762  7 Tm 2.84-3.08
Pd2 0.2500 0.9502 0.3238  7 Tm 2.84-3.08

# 9
VASP calculation (PBE-GGA) on a geometry-optimized PmErBi structure.

The value obtained for the final energy is -4.866 eV per atom. As for the space group: I4mm, No. 107. The spin magnetization is 1.0 Bohr magnetons per cell. The energy of formation comes out at -0.47 eV per atom.

a b c (Å): 4.0841 4.0841 6.1673
angles (deg): 109.34 109.34 90.00
Last column: nearest neighbours and their distance in Å.
Positions (direct):
Er1 0.9635 0.9635 0.9271  4 Bi 3.30, 5 Pm 3.40-3.54
Bi1 0.6109 0.6109 0.2218  4 Er 3.30, 5 Pm 3.40-3.65
Pm1 0.2755 0.2755 0.5511  5 Bi 3.40-3.65, 5 Er 3.40-3.54

# 10
VASP calculation (PBE-GGA) on a geometry-optimized AcDyRu2O8 structure.

The value obtained for the final energy is -7.334 eV per atom. As for the space group: P-3, No. 147. The spin magnetization is 2.0 Bohr magnetons per cell. As for the formation energy from raw total energies: -1.76 eV per atom.

a b c (Å): 5.8595 5.8595 7.3083
angles (deg): 90.00 90.00 120.00
Last column: nearest neighbours and their distance in Å.
Positions (direct):
Ac1 0.0000 0.0000 0.0000  6 O 2.62
Dy1 0.0000 0.0000 0.5000  6 O 2.25
Ru1 0.6667 0.3333 0.2148  4 O 1.81-1.85
Ru2 0.3333 0.6667 0.7852  4 O 1.81-1.85
O1 0.3333 0.6667 0.0323  1 Ru 1.81
O2 0.3155 0.1591 0.2836  1 Ru 1.85
O3 0.8409 0.1565 0.2836  1 Ru 1.85
O4 0.6667 0.3333 0.9677  1 Ru 1.81
O5 0.1591 0.8435 0.7164  1 Ru 1.85
O6 0.6845 0.8409 0.7164  1 Ru 1.85
O7 0.1565 0.3155 0.7164  1 Ru 1.85
O8 0.8435 0.6845 0.2836  1 Ru 1.85

# 11
VASP calculation (PBE-GGA) on a geometry-optimized Tb3Cu4Ni4 structure.

The value obtained for the final energy is -4.978 eV per atom. As for the space group: I-43m, No. 217. The spin magnetization is 0.0 Bohr magnetons per cell. The energy of formation comes out at -0.12 eV per atom.

a b c (Å): 6.2513 6.2513 6.2513
angles (deg): 109.47 109.47 109.47
Last column: nearest neighbours and their distance in Å.
Positions (direct):
Tb1 0.5000 0.5000 0.0000  4 Ni 2.97, 4 Cu 3.00
Tb2 0.5000 0.0000 0.5000  4 Ni 2.97, 4 Cu 3.00
Tb3 0.0000 0.5000 0.5000  4 Ni 2.97, 4 Cu 3.00
Cu1 0.0000 0.2426 0.0000  4 Ni 2.25-2.44, 3 Cu 2.48
Cu2 0.0000 0.0000 0.2426  4 Ni 2.25-2.44, 3 Cu 2.48
Cu3 0.2426 0.0000 0.0000  4 Ni 2.25-2.44, 3 Cu 2.48
Cu4 0.7574 0.7574 0.7574  4 Ni 2.25-2.44, 3 Cu 2.48
Ni1 0.0000 0.6023 0.0000  4 Cu 2.25-2.44
Ni2 0.6023 0.0000 0.0000  4 Cu 2.25-2.44
Ni3 0.0000 0.0000 0.6023  4 Cu 2.25-2.44
Ni4 0.3977 0.3977 0.3977  4 Cu 2.25-2.44

# 12
VASP calculation (PBE-GGA) on a geometry-optimized La2MoPb structure.

The value obtained for the final energy is -5.721 eV per atom. As for the space group: R3m, No. 160. The spin magnetization is 0.0 Bohr magnetons per cell. The energy of formation comes out at 0.38 eV per atom.

a b c (Å): 9.9895 9.9895 9.9895
angles (deg): 20.71 20.71 20.71
Last column: nearest neighbours and their distance in Å.
Positions (direct):
La1 0.0029 0.0029 0.0029  3 Pb 3.44, 9 La 3.59
La2 0.2363 0.2363 0.2363  3 Mo 2.96
Mo1 0.4975 0.4975 0.4975  3 Pb 2.87, 3 La 2.96
Pb1 0.7632 0.7632 0.7632  3 Mo 2.87

Calculated volume: 20.67 10.14 21.92 19.41 33.48 17.57 21.18 28.21 30.30 18.11 17.10 27.28 (A^3/atom)